# PBE-GGA ZnCdFePd, optimized geometry
data_ZnCdFePd
_chemical_formula_sum 'Zn1 Cd1 Fe1 Pd1'
_space_group_name_H-M_alt 'P 1'
_space_group_IT_number 1
_cell_length_a 4.4397
_cell_length_b 4.4397
_cell_length_c 4.4397
_cell_angle_alpha 60.00
_cell_angle_beta 60.00
_cell_angle_gamma 60.00
loop_
_space_group_symop_operation_xyz
'x,y,z'
loop_
_atom_site_label
_atom_site_type_symbol
_atom_site_fract_x
_atom_site_fract_y
_atom_site_fract_z
Zn1 Zn 0.0000 0.0000 0.0000
Cd1 Cd 0.5000 0.5000 0.5000
Fe1 Fe 0.2500 0.2500 0.2500
Pd1 Pd 0.7500 0.7500 0.7500
# symmetry = No. 216

***

# PBE-GGA PmCdFe, optimized geometry
data_PmCdFe
_chemical_formula_sum 'Pm1 Cd1 Fe1'
_space_group_name_H-M_alt 'P 1'
_space_group_IT_number 1
_cell_length_a 4.7666
_cell_length_b 4.7666
_cell_length_c 4.7666
_cell_angle_alpha 60.00
_cell_angle_beta 60.00
_cell_angle_gamma 60.00
loop_
_space_group_symop_operation_xyz
'x,y,z'
loop_
_atom_site_label
_atom_site_type_symbol
_atom_site_fract_x
_atom_site_fract_y
_atom_site_fract_z
Pm1 Pm 0.0000 0.0000 0.0000
Cd1 Cd 0.7500 0.7500 0.7500
Fe1 Fe 0.2500 0.2500 0.2500
# symmetry = No. 216

***

# PBE-GGA Pr6CdFe13, optimized geometry
data_Pr6CdFe13
_chemical_formula_sum 'Pr12 Cd2 Fe26'
_space_group_name_H-M_alt 'P 1'
_space_group_IT_number 1
_cell_length_a 13.0699
_cell_length_b 13.0699
_cell_length_c 13.0699
_cell_angle_alpha 144.19
_cell_angle_beta 144.19
_cell_angle_gamma 51.55
loop_
_space_group_symop_operation_xyz
'x,y,z'
loop_
_atom_site_label
_atom_site_type_symbol
_atom_site_fract_x
_atom_site_fract_y
_atom_site_fract_z
Pr1 Pr 0.0217 0.5217 0.1749
Pr2 Pr 0.1050 0.1050 0.0000
Pr3 Pr 0.1532 0.9783 0.5000
Pr4 Pr 0.3468 0.8468 0.8251
Pr5 Pr 0.3950 0.3950 0.0000
Pr6 Pr 0.4783 0.6532 0.5000
Pr7 Pr 0.5217 0.3468 0.5000
Pr8 Pr 0.6050 0.6050 0.0000
Pr9 Pr 0.6532 0.1532 0.1749
Pr10 Pr 0.8468 0.0217 0.5000
Pr11 Pr 0.8950 0.8950 0.0000
Pr12 Pr 0.9783 0.4783 0.8251
Cd1 Cd 0.2500 0.2500 0.0000
Cd2 Cd 0.7500 0.7500 0.0000
Fe1 Fe 0.0000 0.5000 0.5000
Fe2 Fe 0.0203 0.2940 0.5000
Fe3 Fe 0.0665 0.2099 0.2765
Fe4 Fe 0.1209 0.6209 0.8576
Fe5 Fe 0.2060 0.4797 0.5000
Fe6 Fe 0.2099 0.9335 0.1434
Fe7 Fe 0.2368 0.7368 0.8576
Fe8 Fe 0.2632 0.1209 0.5000
Fe9 Fe 0.2901 0.4335 0.7235
Fe10 Fe 0.2940 0.7940 0.2737
Fe11 Fe 0.3791 0.2368 0.5000
Fe12 Fe 0.4335 0.7099 0.1434
Fe13 Fe 0.4797 0.9797 0.2737
Fe14 Fe 0.5000 0.0000 0.5000
Fe15 Fe 0.5203 0.0203 0.7263
Fe16 Fe 0.5665 0.2901 0.8566
Fe17 Fe 0.6209 0.7632 0.5000
Fe18 Fe 0.7060 0.2060 0.7263
Fe19 Fe 0.7099 0.5665 0.2765
Fe20 Fe 0.7368 0.8791 0.5000
Fe21 Fe 0.7632 0.2632 0.1424
Fe22 Fe 0.7901 0.0665 0.8566
Fe23 Fe 0.7940 0.5203 0.5000
Fe24 Fe 0.8791 0.3791 0.1424
Fe25 Fe 0.9335 0.7901 0.7235
Fe26 Fe 0.9797 0.7060 0.5000
# symmetry = No. 140

***

# PBE-GGA PrCdFe, optimized geometry
data_PrCdFe
_chemical_formula_sum 'Pr1 Cd1 Fe1'
_space_group_name_H-M_alt 'P 1'
_space_group_IT_number 1
_cell_length_a 4.9567
_cell_length_b 4.9567
_cell_length_c 4.9567
_cell_angle_alpha 60.00
_cell_angle_beta 60.00
_cell_angle_gamma 60.00
loop_
_space_group_symop_operation_xyz
'x,y,z'
loop_
_atom_site_label
_atom_site_type_symbol
_atom_site_fract_x
_atom_site_fract_y
_atom_site_fract_z
Pr1 Pr 0.0000 0.0000 0.0000
Cd1 Cd 0.7500 0.7500 0.7500
Fe1 Fe 0.2500 0.2500 0.2500
# symmetry = No. 216

***

Short version: VASP energy = -15.61; -11.41; -275.61; -11.50 eV for the cell shown, in the order given.